1.
A relaxed AlZnCu2 crystal, computed with GGA-PBE.

Electronic total energy = -27.1 eV/cell
ρ = 6.8 g cm⁻³
Formation energy from the elements = -0.090 eV/atom

The structure in CIF format:
```
data_AlZnCu2
_chemical_formula_sum 'Al2 Zn2 Cu4'
_space_group_name_H-M_alt 'C 1 2/m 1'
_space_group_IT_number 12
_cell_length_a 8.550
_cell_length_b 2.766
_cell_length_c 4.608
_cell_angle_alpha 90.00
_cell_angle_beta 101.68
_cell_angle_gamma 90.00
loop_
_space_group_symop_operation_xyz
'x,y,z'
'-x,-y,-z'
'-x,y,-z'
'x,-y,z'
'x+1/2,y+1/2,z'
'-x+1/2,-y+1/2,-z'
'-x+1/2,y+1/2,-z'
'x+1/2,-y+1/2,z'
loop_
_atom_site_label
_atom_site_fract_x
_atom_site_fract_y
_atom_site_fract_z
_atom_site_occupancy
Al1 0.000 0.000 0.000 1
Zn1 0.000 0.500 0.500 1
Cu1 0.247 0.500 0.247 1
```


2.
A relaxed Pr5DyIr4 crystal, computed with GGA-PBE.

Electronic total energy = -138.3 eV/cell
ρ = 9.6 g cm⁻³
Formation energy from the elements = -0.520 eV/atom

The structure in CIF format:
```
data_Pr5DyIr4
_chemical_formula_sum 'Pr10 Dy2 Ir8'
_space_group_name_H-M_alt 'C 1 2/m 1'
_space_group_IT_number 12
_cell_length_a 18.823
_cell_length_b 4.321
_cell_length_c 7.643
_cell_angle_alpha 90.00
_cell_angle_beta 113.82
_cell_angle_gamma 90.00
loop_
_space_group_symop_operation_xyz
'x,y,z'
'-x,-y,-z'
'-x,y,-z'
'x,-y,z'
'x+1/2,y+1/2,z'
'-x+1/2,-y+1/2,-z'
'-x+1/2,y+1/2,-z'
'x+1/2,-y+1/2,z'
loop_
_atom_site_label
_atom_site_fract_x
_atom_site_fract_y
_atom_site_fract_z
_atom_site_occupancy
Pr1 0.000 0.000 0.000 1
Pr2 0.164 0.500 0.421 1
Pr3 0.164 0.500 0.907 1
Dy1 0.000 0.000 0.500 1
Ir1 0.000 0.500 0.258 1
Ir2 0.197 0.000 0.697 1
```


Number 1 is which compound? AlZnCu2


Repeat the second record exactly.
A relaxed Pr5DyIr4 crystal, computed with GGA-PBE.

Electronic total energy = -138.3 eV/cell
ρ = 9.6 g cm⁻³
Formation energy from the elements = -0.520 eV/atom

The structure in CIF format:
```
data_Pr5DyIr4
_chemical_formula_sum 'Pr10 Dy2 Ir8'
_space_group_name_H-M_alt 'C 1 2/m 1'
_space_group_IT_number 12
_cell_length_a 18.823
_cell_length_b 4.321
_cell_length_c 7.643
_cell_angle_alpha 90.00
_cell_angle_beta 113.82
_cell_angle_gamma 90.00
loop_
_space_group_symop_operation_xyz
'x,y,z'
'-x,-y,-z'
'-x,y,-z'
'x,-y,z'
'x+1/2,y+1/2,z'
'-x+1/2,-y+1/2,-z'
'-x+1/2,y+1/2,-z'
'x+1/2,-y+1/2,z'
loop_
_atom_site_label
_atom_site_fract_x
_atom_site_fract_y
_atom_site_fract_z
_atom_site_occupancy
Pr1 0.000 0.000 0.000 1
Pr2 0.164 0.500 0.421 1
Pr3 0.164 0.500 0.907 1
Dy1 0.000 0.000 0.500 1
Ir1 0.000 0.500 0.258 1
Ir2 0.197 0.000 0.697 1
```


Which value of ρ does entry 1 give? 6.8 g cm⁻³


The lowest ρ belongs to which entry? AlZnCu2